The following is a PBE with a Hubbard U calculation of crystalline Li4Cr3Fe2Sb3O16 at its relaxed geometry, from the Alexandria database.

## Properties
The value obtained for the total magnetization is 14.98 μB/cell. The total energy comes out at -0.2712 hartree per atom.

Lattice parameters (Å, degrees): 6.080 6.091 9.935 90.21 90.30 119.55
Space group P1 (No. 1)
Asymmetric unit:
Li 0.000 0.000 0.000 (multiplicity 1)
Li 0.007 0.999 0.514 (multiplicity 1)
Li 0.346 0.663 0.412 (multiplicity 1)
Li 0.678 0.331 0.874 (multiplicity 1)
Cr 0.183 0.330 0.723 (multiplicity 1)
Cr 0.677 0.825 0.724 (multiplicity 1)
Cr 0.850 0.159 0.226 (multiplicity 1)
Fe 0.361 0.649 0.987 (multiplicity 1)
Fe 0.692 0.319 0.524 (multiplicity 1)
Sb 0.184 0.825 0.724 (multiplicity 1)
Sb 0.355 0.158 0.224 (multiplicity 1)
Sb 0.850 0.653 0.224 (multiplicity 1)
O 0.016 0.995 0.822 (multiplicity 1)
O 0.024 0.988 0.329 (multiplicity 1)
O 0.046 0.515 0.840 (multiplicity 1)
O 0.170 0.298 0.120 (multiplicity 1)
O 0.172 0.835 0.110 (multiplicity 1)
O 0.325 0.143 0.612 (multiplicity 1)
O 0.345 0.660 0.614 (multiplicity 1)
O 0.496 0.964 0.841 (multiplicity 1)
O 0.497 0.513 0.839 (multiplicity 1)
O 0.533 0.476 0.341 (multiplicity 1)
O 0.534 0.019 0.331 (multiplicity 1)
O 0.679 0.326 0.112 (multiplicity 1)
O 0.708 0.831 0.119 (multiplicity 1)
O 0.855 0.148 0.614 (multiplicity 1)
O 0.863 0.683 0.611 (multiplicity 1)
O 0.992 0.481 0.332 (multiplicity 1)